# ScCrGaP2

An optimized crystal structure of ScCrGaP2 (PBE, Alexandria).

Calculated values
- Total magnetic moment: 0.068 μB per cell
- Volume: 19.0 Å³/atom
- Energy of formation from the pure elements: 0.1186 eV per atom
- DFT total energy: -5.8417 eV/atom

Lattice parameters (Å, degrees): 4.4051 4.4051 4.8915 90.00 90.00 90.00
Fractional coordinates of all 5 atoms:
Sc  0.0000  0.0000  0.0000
Cr  0.0000  0.0000  0.5000
Ga  0.5000  0.5000  0.0000
P  0.0000  0.5000  0.5000
P  0.5000  0.0000  0.5000

---

# CrGa2PW

An optimized crystal structure of CrGa2PW (PBE, Alexandria).

Calculated values
- Total magnetic moment: 0.157 μB per cell
- Volume: 21.7 Å³/atom
- Energy of formation from the pure elements: 1.3667 eV per atom
- DFT total energy: -5.4413 eV/atom

Lattice parameters (Å, degrees): 4.9387 4.9387 4.4503 90.00 90.00 90.00
Fractional coordinates of all 5 atoms:
Cr  0.0000  0.0000  0.0000
Ga  0.0000  0.5000  0.5000
Ga  0.5000  0.0000  0.5000
P  0.5000  0.5000  0.0000
W  0.0000  0.0000  0.5000